Here is a relaxed Sc12Co6Sb crystal from Alexandria. Energies are from PBE.

a b c (Å): 7.794 7.794 7.794
angles (deg): 109.47 109.47 109.47
Positions (direct):
Sc (0.298, 0.098, 0.800)
Sc (0.298, 0.499, 0.200)
Sc (0.702, 0.501, 0.800)
Sc (0.702, 0.902, 0.200)
Sc (0.098, 0.800, 0.298)
Sc (0.499, 0.200, 0.298)
Sc (0.501, 0.800, 0.702)
Sc (0.902, 0.200, 0.702)
Sc (0.800, 0.298, 0.098)
Sc (0.200, 0.298, 0.499)
Sc (0.800, 0.702, 0.501)
Sc (0.200, 0.702, 0.902)
Co (0.380, 0.500, 0.880)
Co (0.620, 0.500, 0.120)
Co (0.500, 0.880, 0.380)
Co (0.500, 0.120, 0.620)
Co (0.880, 0.380, 0.500)
Co (0.120, 0.620, 0.500)
Sb (0.000, 0.000, 0.000)

- Mass density: 4.6 g/cm³
- Uncorrected formation energy: -0.375 eV/atom
- Calculated total energy: -6.8343 eV/atom